Record 1
Pm2Pr7Sn2 PBE-GGA relaxed; energy relative to the elements = -0.22 eV per atom; V = 34.0 Å³ per atom; final energy = -53.38 eV per cell; total magnetic moment = 0.0000 μB/atom
1.0
5.0676 0.0000 0.0000
2.5338 9.1342 -0.0356
2.5338 4.2996 8.0591
Pm Pr Sn
2 7 2
Cartesian
2.5338 7.3013 3.0333 Pm
5.0676 5.8330 5.4916 Pm
5.0676 1.7414 2.1262 Pr
7.6014 8.1939 6.5886 Pr
5.0676 8.7938 0.5344 Pr
5.0676 5.2376 1.7874 Pr
5.0676 9.3767 4.2596 Pr
5.0676 10.7361 7.4984 Pr
2.5338 3.7478 3.9331 Pr
7.6014 11.4795 5.4918 Sn
2.5338 3.1557 0.5203 Sn

=====

Record 2
TbPmPrSn PBE-GGA relaxed; energy relative to the elements = -0.26 eV per atom; V = 30.1 Å³ per atom; final energy = -19.21 eV per cell; total magnetic moment = 0.0008 μB/atom
1.0
-1.3706 -0.3627 5.3563
-1.1874 -4.9321 2.2280
3.5051 -2.3275 3.6051
Pr Tb Sn Pm
1 1 1 1
Cartesian
0.7103 -5.7167 8.3920 Pr
0.0000 0.0000 0.0000 Tb
0.4735 -3.8112 5.5947 Sn
0.2368 -1.9056 2.7973 Pm

=====

Record 3
PmPrSnTe PBE-GGA relaxed; ΔE to the lowest computed polymorph = 276 meV/atom; V = 29.8 Å³ per atom; uncorrected formation energy = -3.43 eV/f.u.; final energy = -20.10 eV per cell; total magnetic moment = 0.0003 μB/atom
1.0
-1.7496 -5.2319 0.3164
2.2188 -3.8581 -3.2750
3.2882 -3.8879 2.1462
Pr Te Sn Pm
1 1 1 1
Cartesian
1.8787 -6.4889 -0.4062 Pr
0.9394 -3.2445 -0.2031 Te
2.8181 -9.7334 -0.6094 Sn
0.0000 0.0000 0.0000 Pm

=====

Record 4
PmPrSnTe PBE-GGA relaxed; ΔE to the lowest computed polymorph = 0 meV/atom; V = 32.6 Å³ per atom; uncorrected formation energy = -4.53 eV/f.u.; final energy = -21.21 eV per cell; total magnetic moment = 0.0000 μB/atom
1.0
4.5200 0.0000 0.0000
0.0000 4.5156 0.2701
0.0000 -0.3809 6.3659
Pm Pr Sn Te
1 1 1 1
Cartesian
0.0000 3.8006 4.0109 Pm
2.2600 1.7323 0.6959 Pr
2.2600 1.5426 3.8783 Sn
0.0000 3.9903 0.8277 Te

=====

Record 5
PmPrThSn PBE-GGA relaxed; energy relative to the elements = -0.16 eV per atom; V = 30.5 Å³ per atom; final energy = -21.61 eV per cell; total magnetic moment = 0.0000 μB/atom
1.0
-1.3111 -2.8486 -4.5985
0.0591 -5.5652 0.0622
-4.7823 -2.8369 -0.2476
Pr Sn Th Pm
1 1 1 1
Cartesian
-1.5086 -2.8127 -1.1960 Pr
-4.5257 -8.4380 -3.5879 Sn
0.0000 0.0000 0.0000 Th
-3.0171 -5.6254 -2.3919 Pm

=====

Record 6
Pm3Pr3Tl2Sn PBE-GGA relaxed; energy relative to the elements = -0.35 eV per atom; V = 32.1 Å³ per atom; final energy = -40.50 eV per cell; total magnetic moment = 0.0001 μB/atom
1.0
4.3412 0.0000 0.0000
0.0000 8.7632 0.0000
0.0000 -4.3816 7.5892
Pm Pr Tl Sn
3 3 2 1
Cartesian
0.0000 2.6583 4.6042 Pm
0.0000 -1.7233 2.9849 Pm
0.0000 3.4467 0.0000 Pm
2.1706 6.3462 0.0000 Pr
2.1706 -3.1731 5.4959 Pr
2.1706 1.2085 2.0932 Pr
2.1706 4.3816 2.5297 Tl
2.1706 0.0000 5.0594 Tl
0.0000 0.0000 0.0000 Sn

=====

Record 7
PmPr2Zn2Sn2 PBE-GGA relaxed; energy relative to the elements = -0.39 eV per atom; V = 26.7 Å³ per atom; final energy = -27.59 eV per cell; total magnetic moment = 0.0000 μB/atom
1.0
-3.7147 2.7675 -0.5173
-3.9563 -0.9611 2.2694
0.4908 6.1233 8.2356
Pm Pr Zn Sn
1 2 2 2
Cartesian
0.0000 0.0000 0.0000 Pm
-0.7024 3.9618 5.2400 Pr
-6.4778 3.9679 4.7477 Pr
-4.3758 2.5415 3.0213 Zn
-2.8044 5.3882 6.9663 Zn
-5.2077 6.2688 7.9363 Sn
-1.9725 1.6609 2.0513 Sn

=====

Record 8
PmPrZnSn PBE-GGA relaxed; energy relative to the elements = -0.52 eV per atom; V = 27.1 Å³ per atom; final energy = -16.88 eV per cell; total magnetic moment = 0.0000 μB/atom
1.0
-0.7295 4.6206 2.6066
-1.2319 -0.0312 5.2113
3.6000 1.6337 3.6121
Pr Zn Sn Pm
1 1 1 1
Cartesian
0.0000 0.0000 0.0000 Pr
1.2290 4.6673 8.5725 Zn
0.4097 1.5558 2.8575 Sn
0.8193 3.1115 5.7150 Pm

=====

Record 9
SrPm4Pr5 PBE-GGA relaxed; energy relative to the elements = 0.04 eV per atom; V = 36.9 Å³ per atom; final energy = -44.20 eV per cell; total magnetic moment = 0.0000 μB/atom
1.0
3.7299 0.0000 0.0000
0.0000 3.7299 0.0000
0.0000 0.0000 26.5168
Sr Pm Pr
1 4 5
Cartesian
0.0000 0.0000 0.0000 Sr
0.0000 0.0000 5.5104 Pm
0.0000 0.0000 10.6756 Pm
0.0000 0.0000 15.8412 Pm
0.0000 0.0000 21.0064 Pm
1.8650 1.8650 3.0302 Pr
1.8650 1.8650 8.1191 Pr
1.8650 1.8650 13.2584 Pr
1.8650 1.8650 18.3977 Pr
1.8650 1.8650 23.4866 Pr

=====

Record 10
SrPm12Pr6 PBE-GGA relaxed; energy relative to the elements = 0.19 eV per atom; V = 37.2 Å³ per atom; final energy = -83.68 eV per cell; total magnetic moment = 0.0000 μB/atom
1.0
-1.1679 -0.4107 -8.9445
8.9160 1.4153 0.1934
-0.0636 -8.8407 1.8368
Sr Pm Pr
1 12 6
Cartesian
0.0000 0.0000 0.0000 Sr
1.2134 -4.3941 -5.8394 Pm
0.2987 -3.2108 -2.5412 Pm
2.7824 -0.3740 -2.9957 Pm
4.5968 -5.1304 -6.9006 Pm
4.9022 -7.4621 -3.9186 Pm
7.3859 -4.6253 -4.3731 Pm
6.1833 -1.2443 -3.8856 Pm
4.1302 -6.1158 -0.6464 Pm
6.4712 -3.4420 -1.0749 Pm
1.5013 -6.5918 -3.0287 Pm
3.5544 -1.7203 -6.2678 Pm
3.0878 -2.7057 -0.0136 Pm
1.9881 -7.8320 -6.3276 Pr
6.9490 -2.1660 -7.2355 Pr
7.5590 -6.8232 -1.2793 Pr
0.7356 -5.6701 0.3212 Pr
5.6965 -0.0041 -0.5866 Pr
0.1256 -1.0128 -5.6349 Pr

=====

Record 11
SrPmPr PBE-GGA relaxed; ΔE to the lowest computed polymorph = 0 meV/atom; energy relative to the elements = 0.08 eV per atom; V = 40.2 Å³ per atom; final energy = -10.97 eV per cell; total magnetic moment = 0.0000 μB/atom
1.0
-1.8908 0.4563 3.2865
0.6441 -3.6602 0.8788
7.6661 3.7428 1.6721
Pr Sr Pm
1 1 1
Cartesian
1.9010 -0.8346 3.4285 Pr
6.4102 0.5361 5.8324 Sr
4.5275 1.3763 2.4138 Pm

=====

Record 12
SrPmPr PBE-GGA relaxed; ΔE to the lowest computed polymorph = 19 meV/atom; energy relative to the elements = 0.10 eV per atom; V = 40.2 Å³ per atom; final energy = -10.92 eV per cell; total magnetic moment = 0.0000 μB/atom
1.0
3.8255 0.0000 0.0000
-1.9127 3.3129 0.0000
0.0000 0.0000 9.5141
Pr Sr Pm
1 1 1
Cartesian
0.0000 2.2086 6.1601 Pr
0.0000 0.0000 0.0169 Sr
1.9127 1.1043 3.3371 Pm

=====

Record 13
SrPm8Pr6 PBE-GGA relaxed; energy relative to the elements = 0.17 eV per atom; V = 35.9 Å³ per atom; final energy = -65.76 eV per cell; total magnetic moment = 0.0000 μB/atom
1.0
7.9416 -0.3081 2.9815
1.9598 7.7021 2.9815
-0.4126 -0.3081 8.4727
Sr Pm Pr
1 8 6
Cartesian
0.0000 0.0000 0.0000 Sr
1.9322 4.3913 10.2571 Pm
1.9602 6.4803 5.9989 Pm
2.8220 0.0393 8.5940 Pm
7.2947 5.4475 11.0977 Pm
2.1941 1.6385 3.3379 Pm
6.6668 7.0467 5.8416 Pm
7.5286 0.6057 8.4368 Pm
7.5566 2.6947 4.1785 Pm
1.9340 3.0574 7.0336 Pr
4.4124 6.0998 8.4509 Pr
4.9415 2.4986 9.8708 Pr
4.5473 4.5874 4.5648 Pr
5.0764 0.9861 5.9847 Pr
7.5548 4.0286 7.4021 Pr

=====

Record 14
SrPm4Pr15 PBE-GGA relaxed; energy relative to the elements = 0.03 eV per atom; V = 36.5 Å³ per atom; final energy = -91.71 eV per cell; total magnetic moment = 0.0000 μB/atom
1.0
5.2710 0.0000 0.0000
0.0000 5.2710 0.0000
0.0000 0.0000 26.2886
Sr Pm Pr
1 4 15
Cartesian
0.0000 0.0000 0.0000 Sr
0.0000 0.0000 5.3249 Pm
0.0000 0.0000 10.5457 Pm
0.0000 0.0000 15.7429 Pm
0.0000 0.0000 20.9636 Pm
2.6355 2.6355 0.0000 Pr
2.6355 2.6355 5.3297 Pr
2.6355 2.6355 10.5337 Pr
2.6355 2.6355 15.7548 Pr
2.6355 2.6355 20.9588 Pr
2.6355 0.0000 2.7843 Pr
2.6355 0.0000 7.9475 Pr
2.6355 0.0000 13.1443 Pr
2.6355 0.0000 18.3411 Pr
2.6355 0.0000 23.5042 Pr
0.0000 2.6355 2.7843 Pr
0.0000 2.6355 7.9475 Pr
0.0000 2.6355 13.1443 Pr
0.0000 2.6355 18.3411 Pr
0.0000 2.6355 23.5042 Pr

=====

Record 15
SrPmPr4 PBE-GGA relaxed; energy relative to the elements = 0.22 eV per atom; V = 39.7 Å³ per atom; final energy = -24.22 eV per cell; total magnetic moment = 0.0000 μB/atom
1.0
-0.7473 6.2965 2.8660
-5.6010 3.8540 -1.4807
-4.8760 1.0586 4.8500
Pr Sr Pm
4 1 1
Cartesian
-4.5530 6.4968 1.4335 Pr
-4.1820 5.0663 4.6730 Pr
-7.0481 7.0385 3.9153 Pr
-6.6657 3.8165 2.4487 Pr
-2.8061 2.8023 1.5588 Sr
0.0000 0.0000 0.0000 Pm

=====

Record 16
SrTbPmPr PBE-GGA relaxed; energy relative to the elements = 0.23 eV per atom; V = 37.7 Å³ per atom; final energy = -14.92 eV per cell; total magnetic moment = 0.2890 μB/atom
1.0
-1.8138 5.6444 -0.7178
-5.2832 1.1384 -2.5409
-4.5008 2.1321 3.2957
Pr Sr Tb Pm
1 1 1 1
Cartesian
-2.8995 2.2287 0.0092 Pr
0.0000 0.0000 0.0000 Sr
-8.6984 6.6862 0.0277 Tb
-5.7989 4.4574 0.0185 Pm

=====

Record 17
Sr3PmPr2Te6 PBE-GGA relaxed; V = 34.7 Å³ per atom; uncorrected formation energy = -18.70 eV/f.u.; final energy = -56.91 eV per cell; total magnetic moment = 0.0000 μB/atom
1.0
-2.6545 -2.3652 -7.0663
3.2426 -5.2429 4.9569
-7.1026 1.1552 3.7601
Sr Pm Pr Te
3 1 2 6
Cartesian
-1.2983 -4.1824 4.8193 Sr
-5.2161 -2.2705 -3.1686 Sr
-3.2572 -3.2265 0.8253 Sr
0.0000 0.0000 0.0000 Pm
1.2736 -4.2821 0.9424 Pr
-0.6855 -3.3261 -3.0518 Pr
-5.9194 -4.3892 -0.7252 Te
-1.2800 -5.4321 -0.6723 Te
-0.5951 -2.0637 2.3759 Te
-3.9709 -5.3401 3.2475 Te
-5.2344 -1.0208 2.3230 Te
-2.5436 -1.1128 -1.5968 Te

=====

Record 18
SrPm2Pr3Te6 PBE-GGA relaxed; V = 33.1 Å³ per atom; uncorrected formation energy = -17.60 eV/f.u.; final energy = -61.97 eV per cell; total magnetic moment = 0.0000 μB/atom
1.0
-1.0435 4.2254 1.2362
-6.7489 -3.1991 5.2384
8.3335 -1.9614 5.4586
Sr Pm Pr Te
1 2 3 6
Cartesian
-0.5217 2.1127 0.6181 Sr
0.1823 0.1082 8.0641 Pm
0.3588 -1.0433 3.8690 Pm
-3.8962 0.5132 3.2373 Pr
3.5150 1.6431 5.6307 Pr
-2.9739 -2.5782 6.3024 Pr
-0.9997 -2.8259 8.8154 Te
-1.8325 0.3132 5.6628 Te
1.5408 1.8908 3.1177 Te
-1.6552 -0.8115 1.3767 Te
2.1963 -0.1236 10.5564 Te
2.3736 -1.2483 6.2704 Te

=====

Record 19
Sr3Pm2PrTe6 PBE-GGA relaxed; V = 34.4 Å³ per atom; uncorrected formation energy = -18.64 eV/f.u.; final energy = -56.81 eV per cell; total magnetic moment = 0.0000 μB/atom
1.0
4.5562 0.0000 0.0000
0.0000 9.2852 0.1969
-2.2781 -2.8163 9.7021
Sr Pm Pr Te
3 2 1 6
Cartesian
2.2781 4.6426 0.0984 Sr
2.2781 -0.3246 6.5164 Sr
0.0000 6.7934 3.3826 Sr
2.2781 4.3355 6.6275 Pm
0.0000 2.1334 3.2715 Pm
2.2781 0.0000 0.0000 Pr
0.0000 6.5728 6.6637 Te
2.2781 4.3875 3.4110 Te
2.2781 -0.1039 3.2353 Te
0.0000 2.2868 0.0959 Te
2.2781 4.1820 9.8032 Te
0.0000 2.0814 6.4881 Te

=====

Record 20
SrPmPrTl PBE-GGA relaxed; ΔE to the lowest computed polymorph = 0 meV/atom; energy relative to the elements = -0.01 eV per atom; V = 33.5 Å³ per atom; final energy = -13.61 eV per cell; total magnetic moment = 0.0001 μB/atom
1.0
-0.7579 5.6676 0.5502
-4.2063 2.6299 -2.8965
-4.5866 2.0257 2.8034
Pr Sr Tl Pm
1 1 1 1
Cartesian
-7.1631 7.7424 0.3428 Pr
0.0000 0.0000 0.0000 Sr
-4.7754 5.1616 0.2286 Tl
-2.3877 2.5808 0.1143 Pm